(1)
CrSN2Cl | Alexandria via LeMat-Bulk | GGA-PBE | optimized geometry; E = -21.9 eV for the cell shown; distance to the lowest polymorph of the same formula = 1404.4 meV/atom; volume = 13.98 A^3/atom; total moment = 1.92 μB per cell
1.0
-1.488 -2.428 2.640
-2.459 -1.391 -2.665
3.118 -3.213 -1.199
Cl N Cr S
1 2 1 1
Direct
0.000 0.000 0.000
0.500 0.000 0.000
0.000 0.500 0.000
0.500 0.500 0.500
0.000 0.000 0.500

(2)
CrS2NCl | Alexandria via LeMat-Bulk | GGA-PBE | optimized geometry; E = -23.3 eV for the cell shown; distance to the lowest polymorph of the same formula = 496.5 meV/atom; volume = 19.60 A^3/atom; total moment = 1.57 μB per cell
1.0
4.441 0.000 0.000
0.000 4.441 0.000
0.000 0.000 4.969
Cr Cl S N
1 1 2 1
Direct
0.000 0.000 0.000
0.000 0.000 0.500
0.500 0.000 0.000
0.000 0.500 0.000
0.500 0.500 0.500

Repeat the second record exactly.
CrS2NCl | Alexandria via LeMat-Bulk | GGA-PBE | optimized geometry; E = -23.3 eV for the cell shown; distance to the lowest polymorph of the same formula = 496.5 meV/atom; volume = 19.60 A^3/atom; total moment = 1.57 μB per cell
1.0
4.441 0.000 0.000
0.000 4.441 0.000
0.000 0.000 4.969
Cr Cl S N
1 1 2 1
Direct
0.000 0.000 0.000
0.000 0.000 0.500
0.500 0.000 0.000
0.000 0.500 0.000
0.500 0.500 0.500